Run 1
A geometry-optimized Zn2CrRe structure, computed with GGA-PBE.

Mass density: 11.1 g/cm³

abc: 4.2144 2.6237 5.0366
angles: 81.98 90.00 90.00
Fractional coordinates of all 4 atoms:
Zn 0.5000 0.1893 0.2487
Zn 0.0000 0.0789 0.0038
Re 0.5000 0.7058 0.7354
Cr 0.0000 0.5260 0.5121


Run 2
A geometry-optimized Zn2CrRe structure, computed with GGA-PBE.

Mass density: 11.2 g/cm³

abc: 4.2622 4.2622 4.2622
angles: 119.90 119.90 90.17
Last column: magnetic moment on the atom in μB.
Fractional coordinates of all 4 atoms:
Zn 0.2500 0.7500 0.5000  0.01
Re 0.7500 0.2500 0.5000  -0.42
Cr 0.5000 0.5000 0.0000  1.32
Zn 0.0000 0.0000 0.0000  -0.02


Sorted by energy, starting with the most stable: run 1, run 2.


Run 1
A geometry-optimized LaEuCd structure, computed with GGA-PBE.

Mass density: 7.0 g/cm³

abc: 3.6584 5.5045 5.5045
angles: 120.00 90.00 90.00
Last column: magnetic moment on the atom in μB.
Fractional coordinates of all 3 atoms:
Eu 0.9586 0.0000 0.0000  -6.91
La 0.3567 0.3333 0.6667  -0.05
Cd 0.6847 0.6667 0.3333  -0.01


Run 2
A geometry-optimized LaEuCd structure, computed with GGA-PBE.

Mass density: 6.6 g/cm³

abc: 3.9479 3.9479 7.0750
angles: 106.20 106.20 90.00
Last column: magnetic moment on the atom in μB.
Fractional coordinates of all 3 atoms:
Cd 0.6677 0.6677 0.3354  -0.01
Eu 0.0200 0.0200 0.0401  6.92
La 0.3122 0.3122 0.6245  0.15


Sorted by energy, starting with the most stable: run 2, run 1.


Run 1
A geometry-optimized Mn2CdBr structure, computed with GGA-PBE.

Mass density: 6.1 g/cm³

abc: 5.9959 5.9959 5.9959
angles: 141.72 141.72 55.26
Last column: magnetic moment on the atom in μB.
Fractional coordinates of all 4 atoms:
Cd 0.7500 0.2500 0.5000  -0.05
Br 0.5000 0.5000 0.0000  0.11
Mn 0.0000 0.0000 0.0000  4.00
Mn 0.2500 0.7500 0.5000  3.91


Run 2
A geometry-optimized Mn2CdBr structure, computed with GGA-PBE.

Mass density: 6.4 g/cm³

abc: 8.6451 8.6451 8.6451
angles: 21.87 21.87 21.87
Last column: magnetic moment on the atom in μB.
Fractional coordinates of all 4 atoms:
Br 0.2500 0.2500 0.2500  0.09
Mn 0.9977 0.9977 0.9977  3.85
Cd 0.7500 0.7500 0.7500  -0.08
Mn 0.5023 0.5023 0.5023  3.85


Sorted by energy, starting with the most stable: run 2, run 1.


Run 1
A geometry-optimized Mg3Si4 structure, computed with GGA-PBE.

Mass density: 2.2 g/cm³

abc: 3.7786 8.2440 8.8562
angles: 85.55 90.00 90.00
Fractional coordinates of all 14 atoms:
Mg 0.5000 0.2597 0.6624
Si 0.5000 0.7261 0.2633
Si 0.0000 0.6055 0.3890
Mg 0.0000 0.6849 0.0254
Si 0.0000 0.3139 0.4342
Mg 0.5000 0.9919 0.0725
Mg 0.5000 0.0114 0.4094
Mg 0.0000 0.6601 0.6831
Si 0.0000 0.1584 0.2190
Si 0.0000 0.0046 0.8476
Si 0.5000 0.4712 0.8826
Si 0.0000 0.2873 0.9544
Si 0.5000 0.9239 0.7065
Mg 0.5000 0.4012 0.2037


Run 2
A geometry-optimized Mg3Si4 structure, computed with GGA-PBE.

Mass density: 2.4 g/cm³

abc: 7.2736 7.2736 8.4684
angles: 74.35 74.35 36.42
Fractional coordinates of all 14 atoms:
Si 0.8826 0.8826 0.5816
Mg 0.6537 0.6537 0.1278
Mg 0.4506 0.4506 0.3713
Si 0.6194 0.6194 0.5105
Si 0.3845 0.3845 0.7249
Mg 0.0208 0.0208 0.7503
Si 0.7981 0.7981 0.3502
Si 0.6598 0.6598 0.7875
Si 0.4806 0.4806 0.9368
Mg 0.2963 0.2963 0.1559
Si 0.2099 0.2099 0.8930
Mg 0.9893 0.9893 0.1150
Si 0.0660 0.0660 0.3961
Mg 0.2338 0.2338 0.5526


Sorted by energy, starting with the most stable: run 1, run 2.